1.
# KCaSe2 meta-GGA SCAN PBEsol geometry
data_KCaSe2
_cell_length_a 3.8870
_cell_length_b 3.8870
_cell_length_c 8.5986
_cell_angle_alpha 90.00
_cell_angle_beta 90.00
_cell_angle_gamma 90.00
_space_group_name_H-M_alt 'P 1'
_space_group_IT_number 1
loop_
_space_group_symop_operation_xyz
'x,y,z'
loop_
_atom_site_label
_atom_site_type_symbol
_atom_site_fract_x
_atom_site_fract_y
_atom_site_fract_z
K1 K 0.0000 0.0000 0.0000
Ca1 Ca 0.5000 0.5000 0.5342
Se1 Se 0.0000 0.0000 0.6294
Se2 Se 0.5000 0.5000 0.2008
# - Symmetry: P4mm, No. 99
# - Final energy: -15.85 eV per atom

2.
# KCa2Si meta-GGA SCAN PBEsol geometry
data_KCa2Si
_cell_length_a 8.1058
_cell_length_b 4.6680
_cell_length_c 9.3062
_cell_angle_alpha 90.00
_cell_angle_beta 106.45
_cell_angle_gamma 90.00
_space_group_name_H-M_alt 'P 1'
_space_group_IT_number 1
loop_
_space_group_symop_operation_xyz
'x,y,z'
loop_
_atom_site_label
_atom_site_type_symbol
_atom_site_fract_x
_atom_site_fract_y
_atom_site_fract_z
K1 K 0.0000 0.0000 0.0000
K2 K 0.5000 0.5000 0.0000
Ca1 Ca 0.2093 0.0000 0.6306
Ca2 Ca 0.2907 0.5000 0.3694
Ca3 Ca 0.7093 0.5000 0.6306
Ca4 Ca 0.7907 0.0000 0.3694
Si1 Si 0.0000 0.5000 0.5000
Si2 Si 0.5000 0.0000 0.5000
# - Symmetry: C2/m, No. 12
# - Final energy: -9.55 eV per atom

3.
# K2CaSi meta-GGA SCAN PBEsol geometry
data_K2CaSi
_cell_length_a 5.5412
_cell_length_b 5.5514
_cell_length_c 7.8492
_cell_angle_alpha 90.00
_cell_angle_beta 90.00
_cell_angle_gamma 90.00
_space_group_name_H-M_alt 'P 1'
_space_group_IT_number 1
loop_
_space_group_symop_operation_xyz
'x,y,z'
loop_
_atom_site_label
_atom_site_type_symbol
_atom_site_fract_x
_atom_site_fract_y
_atom_site_fract_z
K1 K 0.0000 0.0000 0.0000
K2 K 0.0000 0.5000 0.2500
K3 K 0.5000 0.0000 0.7500
K4 K 0.5000 0.5000 0.5000
Ca1 Ca 0.0000 0.0000 0.4995
Ca2 Ca 0.5000 0.5000 0.9995
Si1 Si 0.0000 0.5000 0.7501
Si2 Si 0.5000 0.0000 0.2501
# - Symmetry: Imm2, No. 44
# - Final energy: -9.02 eV per atom

4.
# K2CaSi meta-GGA SCAN PBEsol geometry
data_K2CaSi
_cell_length_a 3.6896
_cell_length_b 3.6896
_cell_length_c 11.4097
_cell_angle_alpha 90.00
_cell_angle_beta 90.00
_cell_angle_gamma 90.00
_space_group_name_H-M_alt 'P 1'
_space_group_IT_number 1
loop_
_space_group_symop_operation_xyz
'x,y,z'
loop_
_atom_site_label
_atom_site_type_symbol
_atom_site_fract_x
_atom_site_fract_y
_atom_site_fract_z
K1 K 0.0000 0.0000 0.1864
K2 K 0.0000 0.0000 0.8136
Ca1 Ca 0.5000 0.5000 0.5000
Si1 Si 0.5000 0.5000 0.0000
# - Symmetry: P4/mmm, No. 123
# - Final energy: -8.64 eV per atom

5.
# KCaSi meta-GGA SCAN PBEsol geometry
data_KCaSi
_cell_length_a 3.5603
_cell_length_b 4.4390
_cell_length_c 12.2195
_cell_angle_alpha 90.00
_cell_angle_beta 90.00
_cell_angle_gamma 90.00
_space_group_name_H-M_alt 'P 1'
_space_group_IT_number 1
loop_
_space_group_symop_operation_xyz
'x,y,z'
loop_
_atom_site_label
_atom_site_type_symbol
_atom_site_fract_x
_atom_site_fract_y
_atom_site_fract_z
K1 K 0.0000 0.0000 0.0000
K2 K 0.5000 0.5000 0.5000
Ca1 Ca 0.0000 0.0000 0.7370
Ca2 Ca 0.5000 0.5000 0.2370
Si1 Si 0.0000 0.0000 0.3072
Si2 Si 0.5000 0.5000 0.8072
# - Symmetry: Imm2, No. 44
# - Final energy: -9.28 eV per atom

6.
# KCa2Si meta-GGA SCAN PBEsol geometry
data_KCa2Si
_cell_length_a 7.7946
_cell_length_b 7.7946
_cell_length_c 7.7946
_cell_angle_alpha 90.00
_cell_angle_beta 90.00
_cell_angle_gamma 90.00
_space_group_name_H-M_alt 'P 1'
_space_group_IT_number 1
loop_
_space_group_symop_operation_xyz
'x,y,z'
loop_
_atom_site_label
_atom_site_type_symbol
_atom_site_fract_x
_atom_site_fract_y
_atom_site_fract_z
K1 K 0.0000 0.0000 0.0000
K2 K 0.0000 0.5000 0.5000
K3 K 0.5000 0.0000 0.5000
K4 K 0.5000 0.5000 0.0000
Ca1 Ca 0.0000 0.0000 0.5000
Ca2 Ca 0.0000 0.5000 0.0000
Ca3 Ca 0.2500 0.2500 0.2500
Ca4 Ca 0.2500 0.7500 0.7500
Ca5 Ca 0.5000 0.0000 0.0000
Ca6 Ca 0.5000 0.5000 0.5000
Ca7 Ca 0.7500 0.2500 0.7500
Ca8 Ca 0.7500 0.7500 0.2500
Si1 Si 0.2500 0.2500 0.7500
Si2 Si 0.2500 0.7500 0.2500
Si3 Si 0.7500 0.2500 0.2500
Si4 Si 0.7500 0.7500 0.7500
# - Symmetry: F-43m, No. 216
# - Final energy: -9.19 eV per atom

7.
# K2CaYSn meta-GGA SCAN PBEsol geometry
data_K2CaYSn
_cell_length_a 6.4292
_cell_length_b 6.4292
_cell_length_c 5.9952
_cell_angle_alpha 90.00
_cell_angle_beta 90.00
_cell_angle_gamma 90.00
_space_group_name_H-M_alt 'P 1'
_space_group_IT_number 1
loop_
_space_group_symop_operation_xyz
'x,y,z'
loop_
_atom_site_label
_atom_site_type_symbol
_atom_site_fract_x
_atom_site_fract_y
_atom_site_fract_z
K1 K 0.0000 0.5000 0.0000
K2 K 0.5000 0.0000 0.0000
Ca1 Ca 0.0000 0.0000 0.5000
Y1 Y 0.5000 0.5000 0.5000
Sn1 Sn 0.0000 0.0000 0.0000
# - Symmetry: P4/mmm, No. 123
# - Calculated formation energy: 0.48 eV/atom

8.
# KSrCa2 meta-GGA SCAN PBEsol geometry
data_KSrCa2
_cell_length_a 4.3626
_cell_length_b 6.6144
_cell_length_c 6.6412
_cell_angle_alpha 90.00
_cell_angle_beta 90.00
_cell_angle_gamma 90.00
_space_group_name_H-M_alt 'P 1'
_space_group_IT_number 1
loop_
_space_group_symop_operation_xyz
'x,y,z'
loop_
_atom_site_label
_atom_site_type_symbol
_atom_site_fract_x
_atom_site_fract_y
_atom_site_fract_z
K1 K 0.0000 0.0000 0.0000
Sr1 Sr 0.5000 0.5000 0.0000
Ca1 Ca 0.0000 0.5000 0.5000
Ca2 Ca 0.5000 0.0000 0.5000
# - Symmetry: Pmmm, No. 47
# - Calculated formation energy: 0.15 eV/atom
# - Energy above the most stable polymorph in this dataset: 59 meV per atom

9.
# KSrCa meta-GGA SCAN PBEsol geometry
data_KSrCa
_cell_length_a 9.0617
_cell_length_b 9.0617
_cell_length_c 9.0617
_cell_angle_alpha 90.00
_cell_angle_beta 90.00
_cell_angle_gamma 90.00
_space_group_name_H-M_alt 'P 1'
_space_group_IT_number 1
loop_
_space_group_symop_operation_xyz
'x,y,z'
loop_
_atom_site_label
_atom_site_type_symbol
_atom_site_fract_x
_atom_site_fract_y
_atom_site_fract_z
K1 K 0.0000 0.0000 0.0000
K2 K 0.0000 0.5000 0.5000
K3 K 0.5000 0.0000 0.5000
K4 K 0.5000 0.5000 0.0000
Sr1 Sr 0.2500 0.2500 0.7500
Sr2 Sr 0.2500 0.7500 0.2500
Sr3 Sr 0.7500 0.2500 0.2500
Sr4 Sr 0.7500 0.7500 0.7500
Ca1 Ca 0.2500 0.2500 0.2500
Ca2 Ca 0.2500 0.7500 0.7500
Ca3 Ca 0.7500 0.2500 0.7500
Ca4 Ca 0.7500 0.7500 0.2500
# - Symmetry: F-43m, No. 216
# - Calculated formation energy: 0.53 eV/atom

10.
# KSrCa2 meta-GGA SCAN PBEsol geometry
data_KSrCa2
_cell_length_a 4.5237
_cell_length_b 6.4343
_cell_length_c 13.2708
_cell_angle_alpha 90.00
_cell_angle_beta 90.00
_cell_angle_gamma 90.00
_space_group_name_H-M_alt 'P 1'
_space_group_IT_number 1
loop_
_space_group_symop_operation_xyz
'x,y,z'
loop_
_atom_site_label
_atom_site_type_symbol
_atom_site_fract_x
_atom_site_fract_y
_atom_site_fract_z
K1 K 0.0000 0.0000 0.0000
K2 K 0.5000 0.5000 0.0000
Sr1 Sr 0.0000 0.5000 0.7220
Sr2 Sr 0.5000 0.0000 0.7220
Ca1 Ca 0.0000 0.0000 0.4853
Ca2 Ca 0.0000 0.5000 0.2633
Ca3 Ca 0.5000 0.0000 0.2633
Ca4 Ca 0.5000 0.5000 0.4853
# - Symmetry: Cmm2, No. 35
# - Calculated formation energy: 0.09 eV/atom
# - Energy above the most stable polymorph in this dataset: 0 meV per atom

11.
# KSrCa2 meta-GGA SCAN PBEsol geometry
data_KSrCa2
_cell_length_a 3.9946
_cell_length_b 3.9946
_cell_length_c 12.2466
_cell_angle_alpha 90.00
_cell_angle_beta 90.00
_cell_angle_gamma 90.00
_space_group_name_H-M_alt 'P 1'
_space_group_IT_number 1
loop_
_space_group_symop_operation_xyz
'x,y,z'
loop_
_atom_site_label
_atom_site_type_symbol
_atom_site_fract_x
_atom_site_fract_y
_atom_site_fract_z
K1 K 0.0000 0.0000 0.0000
Sr1 Sr 0.5000 0.5000 0.2878
Ca1 Ca 0.0000 0.0000 0.5208
Ca2 Ca 0.5000 0.5000 0.7334
# - Symmetry: P4mm, No. 99
# - Calculated formation energy: 0.09 eV/atom
# - Energy above the most stable polymorph in this dataset: 0 meV per atom

12.
# KSrCa2 meta-GGA SCAN PBEsol geometry
data_KSrCa2
_cell_length_a 7.9328
_cell_length_b 13.0352
_cell_length_c 3.9280
_cell_angle_alpha 90.00
_cell_angle_beta 108.81
_cell_angle_gamma 90.00
_space_group_name_H-M_alt 'P 1'
_space_group_IT_number 1
loop_
_space_group_symop_operation_xyz
'x,y,z'
loop_
_atom_site_label
_atom_site_type_symbol
_atom_site_fract_x
_atom_site_fract_y
_atom_site_fract_z
K1 K 0.0000 0.0000 0.0000
K2 K 0.5000 0.5000 0.0000
Sr1 Sr 0.0000 0.5000 0.0000
Sr2 Sr 0.5000 0.0000 0.0000
Ca1 Ca 0.2500 0.2500 0.5000
Ca2 Ca 0.2500 0.7500 0.5000
Ca3 Ca 0.7500 0.2500 0.5000
Ca4 Ca 0.7500 0.7500 0.5000
# - Symmetry: C2/m, No. 12
# - Calculated formation energy: 0.14 eV/atom
# - Energy above the most stable polymorph in this dataset: 54 meV per atom

13.
# KSrCa2 meta-GGA SCAN PBEsol geometry
data_KSrCa2
_cell_length_a 4.0280
_cell_length_b 4.0280
_cell_length_c 41.3137
_cell_angle_alpha 90.00
_cell_angle_beta 90.00
_cell_angle_gamma 120.00
_space_group_name_H-M_alt 'P 1'
_space_group_IT_number 1
loop_
_space_group_symop_operation_xyz
'x,y,z'
loop_
_atom_site_label
_atom_site_type_symbol
_atom_site_fract_x
_atom_site_fract_y
_atom_site_fract_z
K1 K 0.0000 0.0000 0.0000
K2 K 0.3333 0.6667 0.6667
K3 K 0.6667 0.3333 0.3333
Sr1 Sr 0.0000 0.0000 0.5000
Sr2 Sr 0.3333 0.6667 0.1667
Sr3 Sr 0.6667 0.3333 0.8333
Ca1 Ca 0.0000 0.0000 0.2459
Ca2 Ca 0.0000 0.0000 0.7541
Ca3 Ca 0.3333 0.6667 0.4207
Ca4 Ca 0.3333 0.6667 0.9126
Ca5 Ca 0.6667 0.3333 0.0874
Ca6 Ca 0.6667 0.3333 0.5793
# - Symmetry: R-3m, No. 166
# - Calculated formation energy: 0.09 eV/atom
# - Energy above the most stable polymorph in this dataset: 8 meV per atom

14.
# KSrCa meta-GGA SCAN PBEsol geometry
data_KSrCa
_cell_length_a 4.5002
_cell_length_b 6.6296
_cell_length_c 20.6759
_cell_angle_alpha 90.00
_cell_angle_beta 90.00
_cell_angle_gamma 90.00
_space_group_name_H-M_alt 'P 1'
_space_group_IT_number 1
loop_
_space_group_symop_operation_xyz
'x,y,z'
loop_
_atom_site_label
_atom_site_type_symbol
_atom_site_fract_x
_atom_site_fract_y
_atom_site_fract_z
K1 K 0.0000 0.0000 0.0000
K2 K 0.0000 0.5000 0.5000
K3 K 0.5000 0.0000 0.5000
K4 K 0.5000 0.5000 0.0000
Sr1 Sr 0.0000 0.0000 0.3210
Sr2 Sr 0.0000 0.5000 0.8210
Sr3 Sr 0.5000 0.0000 0.8210
Sr4 Sr 0.5000 0.5000 0.3210
Ca1 Ca 0.0000 0.0000 0.6693
Ca2 Ca 0.0000 0.5000 0.1693
Ca3 Ca 0.5000 0.0000 0.1693
Ca4 Ca 0.5000 0.5000 0.6693
# - Symmetry: Fmm2, No. 42
# - Calculated formation energy: 0.10 eV/atom

15.
# KSrCa meta-GGA SCAN PBEsol geometry
data_KSrCa
_cell_length_a 6.6776
_cell_length_b 6.6776
_cell_length_c 3.9958
_cell_angle_alpha 90.00
_cell_angle_beta 90.00
_cell_angle_gamma 120.00
_space_group_name_H-M_alt 'P 1'
_space_group_IT_number 1
loop_
_space_group_symop_operation_xyz
'x,y,z'
loop_
_atom_site_label
_atom_site_type_symbol
_atom_site_fract_x
_atom_site_fract_y
_atom_site_fract_z
K1 K 0.0000 0.0000 0.0000
Sr1 Sr 0.3333 0.6667 0.3397
Ca1 Ca 0.6667 0.3333 0.7521
# - Symmetry: P3m1, No. 156
# - Calculated formation energy: 0.15 eV/atom

16.
# KSrCa2 meta-GGA SCAN PBEsol geometry
data_KSrCa2
_cell_length_a 5.7999
_cell_length_b 5.7999
_cell_length_c 11.4382
_cell_angle_alpha 90.00
_cell_angle_beta 90.00
_cell_angle_gamma 90.00
_space_group_name_H-M_alt 'P 1'
_space_group_IT_number 1
loop_
_space_group_symop_operation_xyz
'x,y,z'
loop_
_atom_site_label
_atom_site_type_symbol
_atom_site_fract_x
_atom_site_fract_y
_atom_site_fract_z
K1 K 0.0000 0.0000 0.0000
K2 K 0.5000 0.5000 0.5000
Sr1 Sr 0.0000 0.5000 0.2500
Sr2 Sr 0.5000 0.0000 0.7500
Ca1 Ca 0.0000 0.0000 0.5000
Ca2 Ca 0.0000 0.5000 0.7500
Ca3 Ca 0.5000 0.0000 0.2500
Ca4 Ca 0.5000 0.5000 0.0000
# - Symmetry: I-4m2, No. 119
# - Calculated formation energy: 0.16 eV/atom
# - Energy above the most stable polymorph in this dataset: 69 meV per atom

17.
# KSr2CaZn meta-GGA SCAN PBEsol geometry
data_KSr2CaZn
_cell_length_a 6.1479
_cell_length_b 6.1479
_cell_length_c 6.2686
_cell_angle_alpha 90.00
_cell_angle_beta 90.00
_cell_angle_gamma 90.00
_space_group_name_H-M_alt 'P 1'
_space_group_IT_number 1
loop_
_space_group_symop_operation_xyz
'x,y,z'
loop_
_atom_site_label
_atom_site_type_symbol
_atom_site_fract_x
_atom_site_fract_y
_atom_site_fract_z
K1 K 0.0000 0.0000 0.0000
Sr1 Sr 0.0000 0.5000 0.5000
Sr2 Sr 0.5000 0.0000 0.5000
Ca1 Ca 0.5000 0.5000 0.0000
Zn1 Zn 0.0000 0.0000 0.5000
# - Symmetry: P4/mmm, No. 123
# - Calculated formation energy: 0.14 eV/atom

18.
# KCaTa3 meta-GGA SCAN PBEsol geometry
data_KCaTa3
_cell_length_a 4.9515
_cell_length_b 4.9515
_cell_length_c 4.9515
_cell_angle_alpha 90.00
_cell_angle_beta 90.00
_cell_angle_gamma 90.00
_space_group_name_H-M_alt 'P 1'
_space_group_IT_number 1
loop_
_space_group_symop_operation_xyz
'x,y,z'
loop_
_atom_site_label
_atom_site_type_symbol
_atom_site_fract_x
_atom_site_fract_y
_atom_site_fract_z
K1 K 0.0000 0.0000 0.0000
Ca1 Ca 0.5000 0.5000 0.5000
Ta1 Ta 0.0000 0.5000 0.5000
Ta2 Ta 0.5000 0.0000 0.5000
Ta3 Ta 0.5000 0.5000 0.0000
# - Symmetry: Pm-3m, No. 221
# - Calculated formation energy: 2.92 eV/atom

19.
# KCaTc2 meta-GGA SCAN PBEsol geometry
data_KCaTc2
_cell_length_a 6.7297
_cell_length_b 6.7297
_cell_length_c 6.7297
_cell_angle_alpha 90.00
_cell_angle_beta 90.00
_cell_angle_gamma 90.00
_space_group_name_H-M_alt 'P 1'
_space_group_IT_number 1
loop_
_space_group_symop_operation_xyz
'x,y,z'
loop_
_atom_site_label
_atom_site_type_symbol
_atom_site_fract_x
_atom_site_fract_y
_atom_site_fract_z
K1 K 0.0000 0.0000 0.0000
K2 K 0.0000 0.5000 0.5000
K3 K 0.5000 0.0000 0.5000
K4 K 0.5000 0.5000 0.0000
Ca1 Ca 0.2500 0.2500 0.2500
Ca2 Ca 0.2500 0.7500 0.7500
Ca3 Ca 0.7500 0.2500 0.7500
Ca4 Ca 0.7500 0.7500 0.2500
Tc1 Tc 0.0000 0.0000 0.5000
Tc2 Tc 0.0000 0.5000 0.0000
Tc3 Tc 0.2500 0.2500 0.7500
Tc4 Tc 0.2500 0.7500 0.2500
Tc5 Tc 0.5000 0.0000 0.0000
Tc6 Tc 0.5000 0.5000 0.5000
Tc7 Tc 0.7500 0.2500 0.2500
Tc8 Tc 0.7500 0.7500 0.7500
# - Symmetry: F-43m, No. 216
# - Calculated formation energy: 1.24 eV/atom
# - Energy above the most stable polymorph in this dataset: 673 meV per atom

20.
# KCaTc2 meta-GGA SCAN PBEsol geometry
data_KCaTc2
_cell_length_a 5.2530
_cell_length_b 10.6157
_cell_length_c 2.6679
_cell_angle_alpha 90.00
_cell_angle_beta 90.00
_cell_angle_gamma 90.00
_space_group_name_H-M_alt 'P 1'
_space_group_IT_number 1
loop_
_space_group_symop_operation_xyz
'x,y,z'
loop_
_atom_site_label
_atom_site_type_symbol
_atom_site_fract_x
_atom_site_fract_y
_atom_site_fract_z
K1 K 0.0000 0.0000 0.0000
K2 K 0.5000 0.5000 0.0000
Ca1 Ca 0.0000 0.5000 0.0000
Ca2 Ca 0.5000 0.0000 0.0000
Tc1 Tc 0.2500 0.2500 0.5000
Tc2 Tc 0.2500 0.7500 0.5000
Tc3 Tc 0.7500 0.2500 0.5000
Tc4 Tc 0.7500 0.7500 0.5000
# - Symmetry: Cmmm, No. 65
# - Calculated formation energy: 1.15 eV/atom
# - Energy above the most stable polymorph in this dataset: 581 meV per atom